Computed, not measured: Zr2Ta3Si4 after structural relaxation at the PBE level of DFT.

Cell lengths 6.884, 6.878, 6.725 Å; angles 90.00, 109.24, 90.00 degrees
Element x y z (fractional)
1 Zr 0.188 0.170 0.061
2 Zr 0.188 0.330 0.561
3 Zr 0.812 0.670 0.439
4 Zr 0.812 0.830 0.939
5 Ta 0.252 0.676 0.246
6 Ta 0.252 0.824 0.746
7 Ta 0.500 0.000 0.500
8 Ta 0.500 0.500 0.000
9 Ta 0.748 0.176 0.254
10 Ta 0.748 0.324 0.754
11 Si 0.077 0.535 0.856
12 Si 0.077 0.965 0.356
13 Si 0.490 0.126 0.870
14 Si 0.490 0.374 0.370
15 Si 0.510 0.626 0.630
16 Si 0.510 0.874 0.130
17 Si 0.923 0.035 0.644
18 Si 0.923 0.465 0.144

Properties
* SG: P2_1/c
* DFT total energy: -9.075 eV per atom
* magnetization: 0.0 μB/f.u.